(1)
Here is a relaxed Sr3InF crystal from Alexandria via LeMat-Bulk. Energies are from PBE.

Summary:
- SG = Pm-3m
- E_tot (eV per atom) = -3.18
- size of the total moment (μB/atom) = 0.00

Cell lengths 5.3379, 5.3379, 5.3379 Å; angles 90.00, 90.00, 90.00 degrees
Positions (direct):
Sr: 0.0000 0.0000 0.5000
Sr: 0.0000 0.5000 0.0000
Sr: 0.5000 0.0000 0.0000
In: 0.5000 0.5000 0.5000
F: 0.0000 0.0000 0.0000



(2)
Here is a relaxed SrInF6 crystal from Alexandria via LeMat-Bulk. Energies are from PBE.

Summary:
- SG = R-3m
- E_tot (eV per atom) = -4.59
- size of the total moment (μB/atom) = 0.13

Cell lengths 4.9359, 4.9359, 4.9359 Å; angles 94.84, 94.84, 94.84 degrees
Positions (direct):
Sr: 0.0000 0.0000 0.0000
In: 0.5000 0.5000 0.5000
F: 0.1988 0.1988 0.5832
F: 0.1988 0.5832 0.1988
F: 0.4168 0.8012 0.8012
F: 0.5832 0.1988 0.1988
F: 0.8012 0.4168 0.8012
F: 0.8012 0.8012 0.4168



(3)
Here is a relaxed SrIn2F crystal from Alexandria via LeMat-Bulk. Energies are from PBE.

Summary:
- SG = I-42d
- E_tot (eV per atom) = -3.46
- size of the total moment (μB/atom) = 0.00

Cell lengths 13.7862, 13.7862, 13.7862 Å; angles 163.15, 163.15, 23.91 degrees
Positions (direct):
Sr: 0.0000 0.0000 0.0000
Sr: 0.7500 0.2500 0.5000
In: 0.1235 0.6250 0.9985
In: 0.3750 0.3735 0.4985
In: 0.6265 0.1250 0.0015
In: 0.8750 0.8765 0.5015
F: 0.2500 0.7500 0.5000
F: 0.5000 0.5000 0.0000



(4)
Here is a relaxed SrTiIn2F8 crystal from Alexandria via LeMat-Bulk. Energies are from PBE.

Summary:
- SG = P2/m
- E_tot (eV per atom) = -5.44
- size of the total moment (μB/atom) = 0.00

Cell lengths 4.8968, 7.2301, 6.4472 Å; angles 90.00, 93.35, 90.00 degrees
Positions (direct):
Sr: 0.0000 0.0000 0.0000
Ti: 0.0000 0.5000 0.0000
In: 0.5000 0.2601 0.5000
In: 0.5000 0.7399 0.5000
F: 0.1253 0.3020 0.8283
F: 0.1253 0.6980 0.8283
F: 0.3241 0.5000 0.1628
F: 0.3814 0.0000 0.2562
F: 0.6186 0.0000 0.7438
F: 0.6759 0.5000 0.8372
F: 0.8747 0.3020 0.1717
F: 0.8747 0.6980 0.1717



Repeat the fourth record exactly.
Here is a relaxed SrTiIn2F8 crystal from Alexandria via LeMat-Bulk. Energies are from PBE.

Summary:
- SG = P2/m
- E_tot (eV per atom) = -5.44
- size of the total moment (μB/atom) = 0.00

Cell lengths 4.8968, 7.2301, 6.4472 Å; angles 90.00, 93.35, 90.00 degrees
Positions (direct):
Sr: 0.0000 0.0000 0.0000
Ti: 0.0000 0.5000 0.0000
In: 0.5000 0.2601 0.5000
In: 0.5000 0.7399 0.5000
F: 0.1253 0.3020 0.8283
F: 0.1253 0.6980 0.8283
F: 0.3241 0.5000 0.1628
F: 0.3814 0.0000 0.2562
F: 0.6186 0.0000 0.7438
F: 0.6759 0.5000 0.8372
F: 0.8747 0.3020 0.1717
F: 0.8747 0.6980 0.1717



What is the size of the total moment in the first record?
0.00 μB/atom



Which formula does entry 2 have?
SrInF6